The following is a PBE+U calculation of a geometry-optimized LiCoPO4 structure, from Alexandria.

Summary:
* energy: -6.47 eV/atom
* mass density: 3.46 Mg/m³
* symmetry: No. 14

a b c (Å): 7.4984 8.4955 16.8142
angles (deg): 59.77 90.00 90.00
Last column: nearest neighbours and their distance in Å.
Positions (direct):
O: 0.9276 0.7207 0.1761  1 P 1.54
O: 0.0648 0.1394 0.5366  1 P 1.55
Li: 0.3445 0.9913 0.9160  4 O 1.93-2.07
Li: 0.6511 0.3148 0.2590  4 O 1.94-2.00
P: 0.2494 0.3272 0.7698  4 O 1.54-1.57
O: 0.9073 0.7346 0.6619  1 P 1.55
O: 0.2469 0.9282 0.6773  1 P 1.57
O: 0.2551 0.5331 0.6938  1 P 1.56
Li: 0.1511 0.6852 0.2410  4 O 1.94-2.00
O: 0.7331 0.1049 0.4622  1 P 1.56
O: 0.2700 0.5808 0.0171  1 P 1.57
O: 0.2527 0.8538 0.3594  1 P 1.57
O: 0.7700 0.4192 0.4829  1 P 1.57
O: 0.7300 0.4192 0.9829  1 P 1.57
O: 0.2300 0.5808 0.5171  1 P 1.57
P: 0.2506 0.6393 0.4128  4 O 1.54-1.57
O: 0.3969 0.1803 0.5364  1 P 1.54
O: 0.4073 0.2654 0.8381  1 P 1.55
O: 0.5927 0.7346 0.1619  1 P 1.55
O: 0.2473 0.8538 0.8594  1 P 1.57
P: 0.7494 0.3607 0.5872  4 O 1.54-1.57
O: 0.7551 0.4669 0.8062  1 P 1.56
Co: 0.6121 0.9977 0.7494  3 O 1.91-1.95
Co: 0.5499 0.3418 0.9150  5 O 2.02-2.21
O: 0.6031 0.8197 0.4636  1 P 1.54
Co: 0.0499 0.6582 0.5850  5 O 2.02-2.21
O: 0.5969 0.4236 0.1252  1 P 1.54
O: 0.0701 0.5690 0.8980  1 P 1.54
P: 0.7546 0.9615 0.4310  4 O 1.54-1.57
O: 0.7469 0.0718 0.8227  1 P 1.57
O: 0.7669 0.1049 0.9622  1 P 1.56
P: 0.7454 0.9615 0.9310  4 O 1.54-1.57
Co: 0.9525 0.3247 0.9209  5 O 2.04-2.24
P: 0.2454 0.0385 0.5690  4 O 1.54-1.57
O: 0.5701 0.4310 0.6020  1 P 1.54
O: 0.5648 0.8606 0.9634  1 P 1.55
Li: 0.1565 0.3365 0.0909  4 O 1.93-2.00
O: 0.7577 0.7835 0.7819  1 P 1.57
P: 0.7506 0.3607 0.0872  4 O 1.54-1.57
Co: 0.5475 0.3247 0.4209  5 O 2.04-2.24
O: 0.2423 0.2165 0.2181  1 P 1.57
O: 0.2531 0.9282 0.1773  1 P 1.57
P: 0.7506 0.6728 0.2302  4 O 1.54-1.57
Li: 0.6565 0.6635 0.4091  4 O 1.93-2.00
O: 0.4276 0.2793 0.3239  1 P 1.54
Li: 0.3489 0.6852 0.7410  4 O 1.94-2.00
O: 0.9299 0.4310 0.1020  1 P 1.54
O: 0.0724 0.2793 0.8239  1 P 1.54
O: 0.9031 0.4236 0.6252  1 P 1.54
Co: 0.3879 0.0023 0.2506  3 O 1.91-1.95
Co: 0.0475 0.6753 0.0791  5 O 2.04-2.24
O: 0.4352 0.1394 0.0366  1 P 1.55
O: 0.7423 0.7835 0.2819  1 P 1.57
Li: 0.3435 0.3365 0.5909  4 O 1.93-2.00
O: 0.0969 0.5764 0.3748  1 P 1.54
O: 0.0927 0.2654 0.3381  1 P 1.55
O: 0.7449 0.4669 0.3062  1 P 1.56
O: 0.9352 0.8606 0.4634  1 P 1.55
Li: 0.8489 0.3148 0.7590  4 O 1.94-2.00
O: 0.2331 0.8951 0.0378  1 P 1.56
O: 0.2449 0.5331 0.1938  1 P 1.56
Co: 0.4501 0.6582 0.0850  5 O 2.02-2.21
P: 0.7494 0.6728 0.7302  4 O 1.54-1.57
Li: 0.6555 0.0087 0.0840  4 O 1.93-2.07
O: 0.4031 0.5764 0.8748  1 P 1.54
P: 0.2506 0.3272 0.2698  4 O 1.54-1.57
O: 0.7527 0.1462 0.1406  1 P 1.57
Li: 0.8435 0.6635 0.9091  4 O 1.93-2.00
Co: 0.9501 0.3418 0.4150  5 O 2.02-2.21
O: 0.2669 0.8951 0.5378  1 P 1.56
O: 0.2577 0.2165 0.7181  1 P 1.57
Li: 0.8445 0.0087 0.5840  4 O 1.93-2.07
P: 0.2546 0.0385 0.0690  4 O 1.54-1.57
O: 0.7531 0.0718 0.3227  1 P 1.57
O: 0.4299 0.5690 0.3980  1 P 1.54
O: 0.5724 0.7207 0.6761  1 P 1.54
Co: 0.8879 0.9977 0.2494  3 O 1.91-1.95
P: 0.2494 0.6393 0.9128  4 O 1.54-1.57
O: 0.1031 0.1803 0.0364  1 P 1.54
Li: 0.1555 0.9913 0.4160  4 O 1.93-2.07
O: 0.8969 0.8197 0.9636  1 P 1.54
Co: 0.4525 0.6753 0.5791  5 O 2.04-2.24
Co: 0.1121 0.0023 0.7506  3 O 1.91-1.95
O: 0.7473 0.1462 0.6406  1 P 1.57